[1]
Compound: AlGa2MoIr
Source: Alexandria via LeMat-Bulk
Functional: PBE
Structure: relaxed

Geometry as extended XYZ:
```
5
Lattice="4.5469 0.0000 0.0000 0.0000 4.5426 0.0000 0.0000 0.0000 4.5469" Properties=species:S:1:pos:R:3 pbc="T T T"
Mo 0.0000 2.2713 0.0000
Ir 2.2734 2.2713 2.2734
Al 0.0000 0.0000 0.0000
Ga 0.0000 0.0000 2.2734
Ga 2.2734 0.0000 0.0000
```

## Properties
M_tot = 0.00 μB/f.u.
SG = P4/mmm (123)
energy of formation from the pure elements = 6.543 eV per formula unit

=====

[2]
Compound: NbAlGaIr2
Source: Alexandria via LeMat-Bulk
Functional: PBE
Structure: relaxed

Geometry as extended XYZ:
```
5
Lattice="4.4073 0.0000 0.0000 0.0000 4.6417 0.0000 0.0000 0.0000 4.4073" Properties=species:S:1:pos:R:3 pbc="T T T"
Nb 2.2037 2.3209 2.2037
Ir 0.0000 0.0000 2.2037
Ir 2.2037 0.0000 0.0000
Al 0.0000 0.0000 0.0000
Ga 0.0000 2.3209 0.0000
```

## Properties
M_tot = 0.27 μB/f.u.
SG = P4/mmm (123)
energy of formation from the pure elements = 3.922 eV per formula unit

=====

[3]
Compound: Nd2AlGa4Ir3
Source: Alexandria via LeMat-Bulk
Functional: PBE
Structure: relaxed

Geometry as extended XYZ:
```
10
Lattice="4.1053 0.0000 0.0000 0.0000 4.1053 0.0000 0.0000 0.0000 11.2736" Properties=species:S:1:pos:R:3 pbc="T T T"
Nd 2.0527 0.0000 2.7613
Nd 0.0000 2.0527 8.5123
Al 2.0527 2.0527 5.6368
Ga 2.0527 2.0527 0.0000
Ga 0.0000 0.0000 0.0000
Ga 2.0527 0.0000 7.2109
Ga 0.0000 2.0527 4.0627
Ir 0.0000 0.0000 5.6368
Ir 2.0527 0.0000 9.7521
Ir 0.0000 2.0527 1.5214
```

## Properties
M_tot = 0.00 μB/f.u.
SG = P-4m2 (115)
energy of formation from the pure elements = -6.576 eV per formula unit

=====

[4]
Compound: NdAl2GaIr2
Source: Alexandria via LeMat-Bulk
Functional: PBE
Structure: relaxed

Geometry as extended XYZ:
```
6
Lattice="4.6223 0.0000 0.0000 0.0000 4.6223 0.0000 0.0000 0.0000 5.6783" Properties=species:S:1:pos:R:3 pbc="T T T"
Nd 0.0000 0.0000 2.8392
Al 2.3112 2.3112 4.2647
Al 2.3112 2.3112 1.4137
Ga 0.0000 0.0000 0.0000
Ir 2.3112 0.0000 0.0000
Ir 0.0000 2.3112 0.0000
```

## Properties
M_tot = 0.00 μB/f.u.
SG = P4/mmm (123)
energy of formation from the pure elements = -1.807 eV per formula unit

=====

[5]
Compound: AlGaNiIr
Source: Alexandria via LeMat-Bulk
Functional: PBE
Structure: relaxed

Geometry as extended XYZ:
```
4
Lattice="-1.8191 -0.2109 -3.8080 2.3819 -0.4956 -3.4548 -0.0709 -3.6616 -2.1077" Properties=species:S:1:pos:R:3 pbc="T T T"
Ni 0.1230 -1.0920 -2.3426
Ir 0.3689 -3.2761 -7.0278
Al 0.2459 -2.1841 -4.6852
Ga 0.0000 0.0000 0.0000
```

## Properties
M_tot = 0.00 μB/f.u.
SG = F-43m (216)
energy of formation from the pure elements = -2.286 eV per formula unit

=====

[6]
Compound: AlGaNiIr
Source: Alexandria via LeMat-Bulk
Functional: PBE
Structure: relaxed

Geometry as extended XYZ:
```
4
Lattice="-2.0838 0.1243 2.0992 1.4737 -2.0218 1.5826 3.0454 4.3829 2.7635" Properties=species:S:1:pos:R:3 pbc="T T T"
Al 1.1228 1.6159 1.0188
Ga 2.5565 3.6793 2.3199
Ni 1.5425 1.7101 3.5174
Ir 0.0396 -0.4528 2.1536
```

## Properties
M_tot = 0.00 μB/f.u.
SG = P4mm (99)
energy of formation from the pure elements = -2.329 eV per formula unit

=====

[7]
Compound: AlGaIrO6
Source: Alexandria via LeMat-Bulk
Functional: PBE
Structure: relaxed

Geometry as extended XYZ:
```
18
Lattice="4.9700 0.0000 0.0000 -2.4850 4.3041 0.0000 0.0000 0.0000 8.4660" Properties=species:S:1:pos:R:3 pbc="T T T"
Al 0.0000 0.0000 0.0000
Al 0.0000 0.0000 4.2330
Ga 0.0000 2.8694 2.1165
Ga 2.4850 1.4347 6.3495
Ir 2.4850 1.4347 2.1165
Ir 0.0000 2.8694 6.3495
O 1.6809 2.8665 1.0537
O 4.1270 1.4152 1.0537
O -0.8379 4.2817 5.2867
O -1.6420 2.8889 7.4122
O 0.8430 1.4152 3.1793
O 3.2891 2.8665 3.1793
O 0.8379 4.2817 7.4122
O 3.3229 0.0224 3.1793
O -0.8041 1.4376 5.2867
O 1.6471 0.0224 1.0537
O 1.6420 2.8889 5.2867
O 0.8041 1.4376 7.4122
```

## Properties
final energy = -6.51 eV/atom
M_tot = 0.00 μB/f.u.
SG = P-31c (163)

=====

[8]
Compound: AlGaIrOs
Source: Alexandria via LeMat-Bulk
Functional: PBE
Structure: relaxed

Geometry as extended XYZ:
```
4
Lattice="-1.3116 -3.5384 2.0364 2.8491 -2.9888 1.1565 0.9509 -0.5666 4.1428" Properties=species:S:1:pos:R:3 pbc="T T T"
Ir 1.2442 -3.5469 3.6678
Os 0.0000 0.0000 0.0000
Al 1.8663 -5.3203 5.5018
Ga 0.6221 -1.7734 1.8339
```

## Properties
M_tot = 0.00 μB/f.u.
SG = F-43m (216)
energy of formation from the pure elements = -1.721 eV per formula unit